Record 1
Entry from Alexandria via LeMat-Bulk: a geometry-optimized Tm2MgAg3 structure (PBE-GGA).

SG   P-3m1, No. 164
Formation energy from the elements   -0.302 eV/atom

Lattice parameters (Å, degrees): 4.9751 4.9751 12.1389 90.00 90.00 120.00
Last column: nearest neighbours and their distance in Å.
Fractional coordinates of all 12 atoms:
Tm 0.0000 0.0000 0.5000  8 Ag 2.99-3.03
Tm 0.3333 0.6667 0.1755  8 Ag 2.98-3.14
Tm 0.6667 0.3333 0.8245  8 Ag 2.98-3.14
Tm 0.0000 0.0000 0.0000  8 Ag 3.05-3.08
Mg 0.3333 0.6667 0.6651  8 Ag 2.96-3.06
Mg 0.6667 0.3333 0.3349  8 Ag 2.96-3.06
Ag 0.3333 0.6667 0.4211  4 Mg 2.96-3.06, 4 Tm 2.98-3.03
Ag 0.6667 0.3333 0.0835  7 Tm 3.05-3.14, 1 Mg 3.05
Ag 0.0000 0.0000 0.7466  5 Tm 2.99-3.08, 3 Mg 3.04
Ag 0.0000 0.0000 0.2534  5 Tm 2.99-3.08, 3 Mg 3.04
Ag 0.3333 0.6667 0.9165  7 Tm 3.05-3.14, 1 Mg 3.05
Ag 0.6667 0.3333 0.5789  4 Mg 2.96-3.06, 4 Tm 2.98-3.03

Record 2
Entry from Alexandria via LeMat-Bulk: a geometry-optimized Tm2MgAg3 structure (PBE-GGA).

SG   P4/mmm, No. 123
Formation energy from the elements   -0.295 eV/atom

Lattice parameters (Å, degrees): 3.5143 3.5143 10.5510 90.00 90.00 90.00
Last column: nearest neighbours and their distance in Å.
Fractional coordinates of all 6 atoms:
Tm 0.5000 0.5000 0.8262  8 Ag 3.08-3.09, 1 Mg 3.44
Tm 0.5000 0.5000 0.1738  8 Ag 3.08-3.09, 1 Mg 3.44
Mg 0.5000 0.5000 0.5000  8 Ag 2.96
Ag 0.0000 0.0000 0.0000  8 Tm 3.09
Ag 0.0000 0.0000 0.6532  4 Mg 2.96, 4 Tm 3.08, 1 Ag 3.23
Ag 0.0000 0.0000 0.3468  4 Mg 2.96, 4 Tm 3.08, 1 Ag 3.23

Record 3
Entry from Alexandria via LeMat-Bulk: a geometry-optimized TmMgAg3 structure (PBE-GGA).

SG   P2_1/m, No. 11
Formation energy from the elements   -0.152 eV/atom

Lattice parameters (Å, degrees): 4.8781 6.5121 7.0801 90.00 69.03 90.00
Last column: nearest neighbours and their distance in Å.
Fractional coordinates of all 10 atoms:
Tm 0.6159 0.7500 0.2618  8 Ag 2.95-3.08, 2 Mg 3.28
Tm 0.3841 0.2500 0.7382  8 Ag 2.95-3.08, 2 Mg 3.28
Mg 0.3492 0.7500 0.7947  8 Ag 2.79-3.10
Mg 0.6508 0.2500 0.2053  8 Ag 2.79-3.10
Ag 0.1809 0.0028 0.1356  3 Mg 2.79-2.98, 4 Ag 2.82-3.04, 3 Tm 3.06-3.08
Ag 0.8191 0.9972 0.8644  3 Mg 2.79-2.98, 4 Ag 2.82-3.04, 3 Tm 3.06-3.08
Ag 0.1809 0.4972 0.1356  3 Mg 2.79-2.98, 4 Ag 2.82-3.04, 3 Tm 3.06-3.08
Ag 0.8191 0.5028 0.8644  3 Mg 2.79-2.98, 4 Ag 2.82-3.04, 3 Tm 3.06-3.08
Ag 0.9842 0.7500 0.5145  4 Ag 2.82-3.00, 2 Tm 2.95-2.96, 2 Mg 3.02-3.10
Ag 0.0158 0.2500 0.4855  4 Ag 2.82-3.00, 2 Tm 2.95-2.96, 2 Mg 3.02-3.10

Record 4
Entry from Alexandria via LeMat-Bulk: a geometry-optimized TmMg2Ag structure (PBE-GGA).

SG   Fm-3m, No. 225
Formation energy from the elements   -0.054 eV/atom

Lattice parameters (Å, degrees): 4.9696 4.9696 4.9696 60.00 60.00 60.00
Last column: nearest neighbours and their distance in Å.
Fractional coordinates of all 4 atoms:
Mg 0.2500 0.2500 0.2500  4 Tm 3.04, 4 Ag 3.04
Mg 0.7500 0.7500 0.7500  4 Tm 3.04, 4 Ag 3.04
Tm 0.0000 0.0000 0.0000  8 Mg 3.04
Ag 0.5000 0.5000 0.5000  8 Mg 3.04

Record 5
Entry from Alexandria via LeMat-Bulk: a geometry-optimized TmMg5Ag6 structure (PBE-GGA).

SG   P2/m, No. 10
Formation energy from the elements   -0.242 eV/atom

Lattice parameters (Å, degrees): 4.7885 6.8066 7.5694 90.00 109.18 90.00
Last column: nearest neighbours and their distance in Å.
Fractional coordinates of all 12 atoms:
Mg 0.6578 0.5000 0.3256  8 Ag 2.85-2.91
Mg 0.3336 0.0000 0.6619  8 Ag 2.89-3.00
Mg 0.0000 0.5000 0.0000  8 Ag 2.90-2.94
Mg 0.6664 0.0000 0.3381  8 Ag 2.89-3.00
Mg 0.3422 0.5000 0.6744  8 Ag 2.85-2.91
Tm 0.0000 0.0000 0.0000  8 Ag 2.98-3.02
Ag 0.8353 0.7401 0.6580  7 Mg 2.88-2.99, 1 Tm 3.02
Ag 0.8353 0.2599 0.6580  7 Mg 2.88-2.99, 1 Tm 3.02
Ag 0.5000 0.2598 0.0000  6 Mg 2.85-3.00, 2 Tm 2.98
Ag 0.5000 0.7402 0.0000  6 Mg 2.85-3.00, 2 Tm 2.98
Ag 0.1647 0.7401 0.3420  7 Mg 2.88-2.99, 1 Tm 3.02
Ag 0.1647 0.2599 0.3420  7 Mg 2.88-2.99, 1 Tm 3.02

Record 6
Entry from Alexandria via LeMat-Bulk: a geometry-optimized TmMg3Ag2 structure (PBE-GGA).

SG   C2/m, No. 12
Formation energy from the elements   -0.162 eV/atom

Lattice parameters (Å, degrees): 4.4212 9.1860 8.3648 123.70 90.00 103.92
Last column: nearest neighbours and their distance in Å.
Fractional coordinates of all 12 atoms:
Tm 0.8817 0.7635 0.9095  6 Ag 3.00-3.32, 1 Mg 3.29
Tm 0.1183 0.2365 0.0905  6 Ag 3.00-3.32, 1 Mg 3.29
Mg 0.3139 0.6278 0.5231  4 Ag 2.75-2.92, 2 Mg 3.04
Mg 0.9524 0.9048 0.5947  3 Ag 2.76-2.88, 1 Mg 2.91
Mg 0.6542 0.3084 0.8179  4 Ag 2.88-3.00, 1 Mg 3.21
Mg 0.3458 0.6916 0.1821  4 Ag 2.88-3.00, 1 Mg 3.21
Mg 0.0476 0.0952 0.4053  3 Ag 2.76-2.88, 1 Mg 2.91
Mg 0.6861 0.3722 0.4769  4 Ag 2.75-2.92, 2 Mg 3.04
Ag 0.4957 0.9913 0.8289  4 Mg 2.75-2.88, 1 Ag 2.78, 2 Tm 3.00
Ag 0.5043 0.0087 0.1711  4 Mg 2.75-2.88, 1 Ag 2.78, 2 Tm 3.00
Ag 0.7663 0.5326 0.2554  7 Mg 2.88-3.00, 2 Tm 3.10
Ag 0.2337 0.4674 0.7446  7 Mg 2.88-3.00, 2 Tm 3.10